No. 1
## Zr8Pa3 (PBE-GGA)

Data for a relaxed structure of Zr8Pa3.

a b c (Å): 3.646 5.949 12.831
angles (deg): 104.85 90.00 107.85
Positions (direct):
Zr 0.633 0.265 0.459
Zr 0.367 0.735 0.541
Zr 0.811 0.622 0.724
Pa 0.907 0.815 0.359
Pa 0.093 0.185 0.641
Zr 0.456 0.912 0.182
Zr 0.276 0.552 0.910
Zr 0.724 0.448 0.090
Zr 0.544 0.088 0.818
Zr 0.189 0.378 0.276
Pa 0.000 0.000 0.000

Results
- Crystal system: monoclinic
- E: -96.0 eV/cell
- Total magnetization: 0.0 μB per formula unit
- Energy of formation: 77 meV per atom


No. 2
## Zr3Pa (PBE-GGA)

Data for a relaxed structure of Zr3Pa.

a b c (Å): 4.577 4.577 4.577
angles (deg): 90.00 90.00 90.00
Positions (direct):
Zr 0.500 0.000 0.500
Zr 0.000 0.500 0.500
Zr 0.500 0.500 0.000
Pa 0.000 0.000 0.000

Results
- Crystal system: cubic
- ΔE to the lowest computed polymorph: 0.28 eV/f.u.
- E: -34.6 eV/cell
- Total magnetization: 0.0 μB per formula unit
- Energy of formation: 142 meV per atom


No. 3
## ZrPa (PBE-GGA)

Data for a relaxed structure of ZrPa.

a b c (Å): 3.233 3.933 8.175
angles (deg): 90.00 113.29 90.00
Positions (direct):
Pa 0.632 0.750 0.882
Zr 0.126 0.750 0.376
Zr 0.874 0.250 0.624
Pa 0.368 0.250 0.118

Results
- Crystal system: orthorhombic
- ΔE to the lowest computed polymorph: 0.00 eV/f.u.
- E: -36.0 eV/cell
- Total magnetization: 0.0 μB per formula unit
- Energy of formation: 26 meV per atom


No. 4
## Zr4Pa (PBE-GGA)

Data for a relaxed structure of Zr4Pa.

a b c (Å): 3.144 3.273 13.819
angles (deg): 73.87 90.00 118.71
Positions (direct):
Zr 0.265 0.529 0.599
Zr 0.593 0.186 0.206
Zr 0.735 0.471 0.401
Pa 0.000 0.000 0.000
Zr 0.407 0.814 0.794

Results
- Crystal system: monoclinic
- ΔE to the lowest computed polymorph: 0.00 eV/f.u.
- E: -43.4 eV/cell
- Total magnetization: 0.0 μB per formula unit
- Energy of formation: 56 meV per atom


No. 5
## Zr5Pa4 (PBE-GGA)

Data for a relaxed structure of Zr5Pa4.

a b c (Å): 3.949 7.626 7.626
angles (deg): 86.16 74.99 74.99
Positions (direct):
Pa 0.340 0.660 0.660
Zr 0.334 0.333 0.000
Pa 0.000 0.660 0.340
Pa 0.000 0.340 0.660
Zr 0.000 0.000 0.000
Zr 0.666 0.000 0.667
Zr 0.666 0.667 0.000
Zr 0.334 0.000 0.333
Pa 0.660 0.340 0.340

Results
- Crystal system: tetragonal
- E: -79.9 eV/cell
- Total magnetization: 0.0 μB per formula unit
- Energy of formation: 91 meV per atom


No. 6
## Zr4Pa (PBE-GGA)

Data for a relaxed structure of Zr4Pa.

a b c (Å): 5.140 5.140 5.140
angles (deg): 90.00 90.00 90.00
Positions (direct):
Zr 0.500 0.000 0.500
Pa 0.500 0.500 0.500
Zr 0.000 0.000 0.000
Zr 0.000 0.500 0.500
Zr 0.500 0.500 0.000

Results
- Crystal system: cubic
- ΔE to the lowest computed polymorph: 4.67 eV/f.u.
- E: -38.7 eV/cell
- Total magnetization: 0.0 μB per formula unit
- Energy of formation: 989 meV per atom